Material: ErBrO
Method: DFT, PBE
State: relaxed

## Properties
Calculated total energy = -40.0 eV for the cell shown
Formation energy without anion corrections = -2.937 eV/atom
Volume = 22.4 Å³/atom
Theoretical density = 6.513 g/cm3
DOS at the Fermi energy = 0.0 states/eV/f.u.

a = 3.810 Å, b = 3.810 Å, c = 9.246 Å
α = 90.00°, β = 90.00°, γ = 90.00°
Fractional coordinates of all 6 atoms:
1 Er 0.250 0.250 0.121
2 Er 0.750 0.750 0.879
3 Br 0.250 0.250 0.697
4 Br 0.750 0.750 0.303
5 O 0.250 0.750 0.000
6 O 0.750 0.250 0.000